[1]
# LiPr2GaS5

LiPr2GaS5 after structural relaxation (PBE, Alexandria).

Summary:
Space-group type: Cmc2_1 (36)
Raw formation energy (eV/f.u.): -14.1

Unit cell a=3.894 b=8.781 c=11.456 alpha=90.00 beta=90.00 gamma=102.81
Positions (direct):
Pr: 0.122 0.243 0.683
Pr: 0.133 0.267 0.305
S: 0.956 0.912 0.561
Pr: 0.878 0.757 0.183
Li: 0.785 0.570 0.520
S: 0.684 0.369 0.856
Ga: 0.433 0.866 0.454
S: 0.643 0.286 0.500
S: 0.316 0.631 0.356
S: 0.708 0.416 0.166
Pr: 0.867 0.733 0.805
S: 0.500 0.000 0.280
S: 0.357 0.714 0.000
S: 0.044 0.088 0.061
Li: 0.215 0.430 0.020
S: 0.292 0.584 0.666
Ga: 0.567 0.134 0.954
S: 0.500 0.000 0.780

***

[2]
# DyCdIrRh

DyCdIrRh after structural relaxation (PBE, Alexandria).

Summary:
Space-group type: F-43m (216)
ΔH_f (0 K) (eV/atom): -0.436

Unit cell a=4.704 b=4.704 c=4.704 alpha=60.00 beta=60.00 gamma=60.00
Positions (direct):
Cd: 0.250 0.250 0.250
Rh: 0.500 0.500 0.500
Dy: 0.750 0.750 0.750
Ir: 0.000 0.000 0.000

***

[3]
# BaCaCd2As

BaCaCd2As after structural relaxation (PBE, Alexandria).

Summary:
Space-group type: P4/mmm (123)
ΔH_f (0 K) (eV/atom): -0.030

Unit cell a=5.509 b=6.106 c=5.509 alpha=90.00 beta=90.00 gamma=90.00
Positions (direct):
As: 0.000 0.000 0.000
Cd: 0.500 0.000 0.000
Ba: 0.000 0.500 0.000
Cd: 0.000 0.000 0.500
Ca: 0.500 0.500 0.500

***

[4]
# DyYInHg

DyYInHg after structural relaxation (PBE, Alexandria).

Summary:
Space-group type: F-43m (216)
ΔH_f (0 K) (eV/atom): -0.481

Unit cell a=5.304 b=5.304 c=5.304 alpha=60.00 beta=60.00 gamma=60.00
Each line ends with the local moment (μB).
Positions (direct):
In: 0.000 0.000 0.000  0.00
Y: 0.750 0.750 0.750  0.05
Dy: 0.250 0.250 0.250  0.06
Hg: 0.500 0.500 0.500  0.01

***

Number 1: theoretical density 4.51 g/cm³, M_tot 0.000 μB/atom. Number 2: theoretical density 12.86 g/cm³, M_tot 0.000 μB/atom. Number 3: theoretical density 4.28 g/cm³, M_tot 0.000 μB/atom. Number 4: theoretical density 8.92 g/cm³, M_tot 0.050 μB/atom.